4
Lattice="1.8320 0.0000 5.8741 -0.9160 1.5866 5.8741 -0.9160 -1.5866 5.8741" Properties=species:S:1:pos:R:3 comment="PBE with a Hubbard U ScFeO2, relaxed" energy_ev_per_atom=-7.666 dos_at_fermi_per_ev_atom=0.23 total_magnetization_mub_per_cell=3.000 pbc="T T T"
Sc 0.0000 0.0000 8.8111
Fe 0.0000 0.0000 0.0000
O 0.0000 0.0000 15.7202
O 0.0000 0.0000 1.9019